[1]
This record from the Alexandria database describes a relaxed TbNdHoAl crystal. The functional is PBE-GGA.

```
4
Lattice="5.404 0.000 0.000 2.702 4.680 0.000 2.702 1.560 4.413" Properties=species:S:1:pos:R:3 pbc="T T T"
Nd 8.106 4.680 3.309
Tb 2.702 1.560 1.103
Ho 0.000 0.000 0.000
Al 5.404 3.120 2.206
```

Computed properties:
Space-group type: F-43m, No. 216
DOS at the Fermi energy (states/eV/cell): 6.99
Total magnetic moment (μB per formula unit): 0.0
E_form (eV/f.u.): -0.2


[2]
This record from the Alexandria database describes a relaxed MnCrSb2 crystal. The functional is PBE-GGA.

```
4
Lattice="-3.758 2.442 -2.111 -4.674 -1.279 1.030 -2.846 3.002 2.726" Properties=species:S:1:pos:R:3 pbc="T T T"
Sb -2.820 1.041 0.411
Sb 0.000 0.000 0.000
Cr -5.639 2.082 0.822
Mn -8.459 3.123 1.234
```

Computed properties:
Space-group type: F-43m, No. 216
Formation energy without anion corrections (eV/atom): 0.67
DOS at the Fermi energy (states/eV/cell): 3.17
Total magnetic moment (μB per formula unit): 7.7


[3]
This record from the Alexandria database describes a relaxed CaLaPd2 crystal. The functional is PBE-GGA.

```
4
Lattice="-1.636 2.839 1.461 -3.328 0.075 -3.872 -3.095 -3.121 2.599" Properties=species:S:1:pos:R:3 pbc="T T T"
Ca -0.818 1.420 0.731
La -4.029 -0.103 0.094
Pd -1.547 -1.560 1.300
Pd -1.664 0.038 -1.936
```

Computed properties:
Space-group type: P4/mmm, No. 123
DOS at the Fermi energy (states/eV/cell): 1.69
Total magnetic moment (μB per formula unit): 0.0
E_form (eV/f.u.): -3.0


[4]
This record from the Alexandria database describes a relaxed NbTe2MoP crystal. The functional is PBE-GGA.

```
5
Lattice="5.336 0.000 0.000 0.000 4.452 0.000 0.000 0.000 5.336" Properties=species:S:1:pos:R:3 pbc="T T T"
Te 2.668 0.000 0.000
Te 0.000 0.000 2.668
Mo 0.000 0.000 0.000
P 0.000 2.226 0.000
Nb 2.668 2.226 2.668
```

Computed properties:
Space-group type: P4/mmm, No. 123
Formation energy without anion corrections (eV/atom): 0.97
DOS at the Fermi energy (states/eV/cell): 11.78
Total magnetic moment (μB per formula unit): 0.0


[5]
This record from the Alexandria database describes a relaxed YBeRe2Cl crystal. The functional is PBE-GGA.

```
5
Lattice="-3.609 2.461 1.184 -2.522 -2.839 -1.787 -0.247 -2.249 3.920" Properties=species:S:1:pos:R:3 pbc="T T T"
Cl 0.000 0.000 0.000
Re -0.123 -1.125 1.960
Re -1.805 1.230 0.592
Y -3.189 -1.313 1.659
Be -1.261 -1.419 -0.894
```

Computed properties:
Space-group type: P4/mmm, No. 123
Formation energy without anion corrections (eV/atom): 1.16
DOS at the Fermi energy (states/eV/cell): 2.73
Total magnetic moment (μB per formula unit): 0.0


[6]
This record from the Alexandria database describes a relaxed LaHgW2 crystal. The functional is PBE-GGA.

```
4
Lattice="3.409 0.000 0.000 0.000 4.913 0.000 0.000 0.000 4.981" Properties=species:S:1:pos:R:3 pbc="T T T"
La 0.000 2.456 2.490
W 0.000 0.000 0.000
W 1.704 2.456 0.000
Hg 1.704 0.000 2.490
```

Computed properties:
Space-group type: Pmmm, No. 47
DOS at the Fermi energy (states/eV/cell): 4.54
Total magnetic moment (μB per formula unit): 0.0
E_form (eV/f.u.): 3.5